{
  "formula": "Ba4Al3Ga",
  "functional": "PBE",
  "state": "optimized geometry",
  "formation_energy_ev_per_atom": -0.1858,
  "n_ef_per_ev_atom": 1.35,
  "density_g_cm3": 3.892,
  "final_energy_ev_per_atom": -2.929,
  "lattice": [[-2.108, 4.579, -1.681], [-1.874, -2.200, -3.643], [-9.966, -2.216, 6.465]],
  "species": ["Ba", "Ba", "Ba", "Ba", "Al", "Al", "Al", "Ga"],
  "fractional_positions": [[0.000, 0.000, 0.144], [0.500, 0.000, 0.645], [0.500, 0.500, 0.352], [0.000, 0.500, 0.857], [0.000, 0.000, 0.447], [0.500, 0.000, 0.951], [0.000, 0.500, 0.551], [0.500, 0.500, 0.052]]
}